Computed, not measured: GaCu2HgO after structural relaxation at the PBE level of DFT.

a b c (Å): 3.945 3.945 5.096
angles (deg): 90.00 90.00 90.00
Element x y z (fractional)
Ga  0.000  0.000  0.000
Cu  0.000  0.500  0.500
Cu  0.500  0.000  0.500
Hg  0.500  0.500  0.000
O  0.000  0.000  0.500

The volume is 15.86 A^3/atom. The energy comes out at -3.3954 eV per atom. For the uncorrected formation energy, the calculation gives -100 meV/atom. For the density of states at the Fermi level, the calculation gives 1.6 states/eV/f.u. Its space group is P4/mmm, No. 123.